A relaxed Tm3B7W crystal. Source: Alexandria via LeMat-Bulk, functional PBE.

```
Tm3B7W
1.0
-2.646 1.928 7.383
-0.718 -2.535 -7.635
1.388 -8.868 2.813
B Tm W
14 6 2
Direct
0.728 0.272 0.033 B
0.481 0.519 0.909 B
0.635 0.365 0.352 B
0.365 0.635 0.648 B
0.635 0.365 0.148 B
0.481 0.519 0.591 B
0.547 0.453 0.750 B
0.365 0.635 0.852 B
0.519 0.481 0.091 B
0.272 0.728 0.533 B
0.453 0.547 0.250 B
0.728 0.272 0.467 B
0.519 0.481 0.409 B
0.272 0.728 0.967 B
0.893 0.107 0.060 Tm
0.107 0.893 0.940 Tm
0.107 0.893 0.560 Tm
0.755 0.245 0.750 Tm
0.245 0.755 0.250 Tm
0.893 0.107 0.440 Tm
0.053 0.947 0.250 W
0.947 0.053 0.750 W
```

***

A relaxed SrErMo2N6 crystal. Source: Alexandria via LeMat-Bulk, functional PBE.

```
SrErMo2N6
1.0
6.535 0.095 0.099
2.198 7.333 0.185
2.198 -0.087 7.335
Mo Er N Sr
4 2 12 2
Direct
0.685 0.215 0.377 Mo
0.815 0.623 0.785 Mo
0.185 0.377 0.215 Mo
0.315 0.785 0.623 Mo
0.750 0.721 0.279 Er
0.250 0.279 0.721 Er
0.142 0.613 0.157 N
0.374 0.313 0.381 N
0.642 0.157 0.613 N
0.126 0.619 0.687 N
0.186 0.996 0.760 N
0.858 0.387 0.843 N
0.314 0.240 0.004 N
0.358 0.843 0.387 N
0.626 0.687 0.619 N
0.686 0.760 0.996 N
0.814 0.004 0.240 N
0.874 0.381 0.313 N
0.250 0.906 0.094 Sr
0.750 0.094 0.906 Sr
```

Formation energy from raw total energies (eV/atom): -0.5970

***

A relaxed In2NiTe2 crystal. Source: Alexandria via LeMat-Bulk, functional PBE.

```
In2NiTe2
1.0
-5.975 -2.796 -1.105
3.006 -5.548 -2.217
0.009 -2.309 5.792
Ni Te In
2 4 4
Direct
0.500 0.500 0.000 Ni
0.000 0.000 0.000 Ni
0.657 0.157 0.000 Te
0.157 0.343 0.000 Te
0.343 0.843 0.000 Te
0.843 0.657 0.000 Te
0.292 0.208 0.500 In
0.708 0.792 0.500 In
0.208 0.708 0.500 In
0.792 0.292 0.500 In
```

Formation energy from raw total energies (eV/atom): 0.0323

***

A relaxed Sr2Be2SbO6 crystal. Source: Alexandria via LeMat-Bulk, functional PBE.

```
Sr2Be2SbO6
1.0
5.471 0.000 0.000
2.736 4.738 0.000
2.736 1.579 5.542
O Sr Be Sb
6 2 2 1
Direct
0.745 0.255 0.254 O
0.255 0.255 0.746 O
0.745 0.255 0.746 O
0.255 0.745 0.746 O
0.255 0.745 0.254 O
0.745 0.745 0.254 O
0.213 0.213 0.360 Sr
0.787 0.787 0.640 Sr
0.583 0.583 0.252 Be
0.417 0.417 0.748 Be
0.000 0.000 0.000 Sb
```

Formation energy from raw total energies (eV/atom): -2.3092

***

A relaxed BaTbIr4 crystal. Source: Alexandria via LeMat-Bulk, functional PBE.

```
BaTbIr4
1.0
-1.093 -3.369 4.193
1.302 -5.321 -0.344
4.101 -2.024 3.036
Ir Ba Tb
4 1 1
Direct
0.124 0.625 0.625 Ir
0.625 0.124 0.625 Ir
0.625 0.625 0.124 Ir
0.625 0.625 0.625 Ir
0.250 0.250 0.250 Ba
0.000 0.000 0.000 Tb
```

***

A relaxed LiNd6B3O13F2 crystal. Source: Alexandria via LeMat-Bulk, functional PBE.

```
LiNd6B3O13F2
1.0
-6.795 0.358 -1.717
-2.147 -2.273 -6.319
-5.230 -14.929 3.245
O Nd B F Li
26 12 6 4 2
Direct
0.292 0.489 0.321 O
0.682 0.350 0.440 O
0.397 0.492 0.167 O
0.101 0.011 0.179 O
0.472 0.150 0.060 O
0.899 0.989 0.821 O
0.318 0.650 0.560 O
0.355 0.020 0.438 O
0.839 0.782 0.173 O
0.708 0.511 0.679 O
0.814 0.480 0.062 O
0.371 0.803 0.738 O
0.528 0.850 0.940 O
0.944 0.992 0.667 O
0.645 0.980 0.562 O
0.186 0.520 0.938 O
0.793 0.718 0.327 O
0.478 0.250 0.750 O
0.161 0.218 0.827 O
0.088 0.303 0.238 O
0.912 0.697 0.762 O
0.603 0.508 0.833 O
0.629 0.197 0.262 O
0.522 0.750 0.250 O
0.207 0.282 0.673 O
0.056 0.008 0.333 O
0.036 0.337 0.386 Nd
0.302 0.971 0.594 Nd
0.868 0.529 0.906 Nd
0.132 0.471 0.094 Nd
0.525 0.196 0.901 Nd
0.759 0.163 0.114 Nd
0.622 0.304 0.599 Nd
0.475 0.804 0.099 Nd
0.241 0.837 0.886 Nd
0.378 0.696 0.401 Nd
0.698 0.029 0.406 Nd
0.964 0.663 0.614 Nd
0.561 0.607 0.748 B
0.916 0.893 0.752 B
0.084 0.107 0.248 B
0.439 0.393 0.252 B
0.716 0.750 0.250 B
0.284 0.250 0.750 B
0.017 0.685 0.458 F
0.983 0.315 0.542 F
0.160 0.815 0.042 F
0.840 0.185 0.958 F
0.072 0.750 0.250 Li
0.928 0.250 0.750 Li
```

Formation energy from raw total energies (eV/atom): -3.1993

***

A relaxed LaBeAu2 crystal. Source: Alexandria via LeMat-Bulk, functional PBE.

```
LaBeAu2
1.0
-0.993 -2.987 -0.620
1.857 -0.074 -2.619
5.607 -2.705 4.051
Be Au La
1 2 1
Direct
0.500 0.500 0.250 Be
0.000 0.000 0.437 Au
0.000 0.000 0.063 Au
0.500 0.500 0.750 La
```

***

A relaxed Nb2CoW crystal. Source: Alexandria via LeMat-Bulk, functional PBE.

```
Nb2CoW
1.0
7.126 0.000 0.000
0.000 7.126 0.000
3.563 3.563 2.632
W Co Nb
2 2 4
Direct
0.000 0.000 0.000 W
0.750 0.250 0.500 W
0.500 0.500 0.000 Co
0.250 0.750 0.500 Co
0.599 0.125 0.250 Nb
0.151 0.625 0.250 Nb
0.375 0.401 0.750 Nb
0.875 0.849 0.750 Nb
```

***

A relaxed Zr2ScAu crystal. Source: Alexandria via LeMat-Bulk, functional PBE.

```
Zr2ScAu
1.0
-4.140 1.347 -3.352
-0.801 -3.682 -3.998
0.535 -0.346 5.457
Au Zr Sc
1 2 1
Direct
0.500 0.500 0.000 Au
0.250 0.750 0.500 Zr
0.000 0.000 0.000 Zr
0.750 0.250 0.500 Sc
```

***

A relaxed ScHg2Mo crystal. Source: Alexandria via LeMat-Bulk, functional PBE.

```
ScHg2Mo
1.0
-4.036 0.216 -2.655
-1.768 -4.011 -2.042
-4.097 -1.956 1.665
Sc Mo Hg
1 1 2
Direct
0.750 0.750 0.750 Sc
0.500 0.500 0.500 Mo
0.250 0.250 0.250 Hg
0.000 0.000 0.000 Hg
```

***

A relaxed Ca2Ge2Cl crystal. Source: Alexandria via LeMat-Bulk, functional PBE.

```
Ca2Ge2Cl
1.0
7.879 0.000 0.000
0.000 7.879 0.000
0.000 0.000 4.303
Cl Ge Ca
2 4 4
Direct
0.000 0.000 0.000 Cl
0.500 0.500 0.000 Cl
0.896 0.396 0.500 Ge
0.604 0.896 0.500 Ge
0.396 0.104 0.500 Ge
0.104 0.604 0.500 Ge
0.186 0.314 0.000 Ca
0.814 0.686 0.000 Ca
0.686 0.186 0.000 Ca
0.314 0.814 0.000 Ca
```

Formation energy from raw total energies (eV/atom): -0.9413

***

A relaxed LiPmRhAu crystal. Source: Alexandria via LeMat-Bulk, functional PBE.

```
LiPmRhAu
1.0
4.818 0.000 0.000
2.409 4.173 0.000
2.409 1.391 3.934
Au Pm Rh Li
1 1 1 1
Direct
0.000 0.000 0.000 Au
0.750 0.750 0.750 Pm
0.500 0.500 0.500 Rh
0.250 0.250 0.250 Li
```

***

Computed volume, in the same sequence as the records: 11.6 17.4 27.9 13.1 19.5 13.4 19.1 16.7 21.1 20.0 26.7 19.8 Å³/atom.
Computed DFT total energy, in the same sequence as the records: -7.289 -8.383 -3.476 -6.372 -7.333 -7.949 -4.109 -9.490 -6.904 -3.977 -3.958 -4.811 eV/atom.
Computed N(E_F), in the same sequence as the records: 0.1906 0.5156 1.0124 0.1705 1.3487 0.0000 0.4818 1.0898 1.5227 1.7384 0.1602 0.4733 states/eV/atom.